# 1
A relaxed CrGaAg2Os crystal, computed with PBE-GGA.

Magnetic moment ... 0.988 μB per atom
Symmetry ... P4/mmm
Formation energy ... 1.18 eV per atom

Geometry as extended XYZ:
```
5
Lattice="4.7067 0.0000 0.0000 0.0000 4.7067 0.0000 0.0000 0.0000 4.6532" Properties=species:S:1:pos:R:3 pbc="T T T"
Cr 0.0000 0.0000 0.0000
Ga 2.3534 2.3534 2.3266
Ag 0.0000 2.3534 2.3266
Ag 2.3534 0.0000 2.3266
Os 2.3534 2.3534 0.0000
```

=====

# 2
A relaxed CrGaAg2Rh crystal, computed with PBE-GGA.

Magnetic moment ... 0.912 μB per atom
Symmetry ... P4/mmm
Formation energy ... 1.04 eV per atom

Geometry as extended XYZ:
```
5
Lattice="4.6887 0.0000 0.0000 0.0000 4.6887 0.0000 0.0000 0.0000 4.7086" Properties=species:S:1:pos:R:3 pbc="T T T"
Cr 0.0000 0.0000 0.0000
Ga 0.0000 0.0000 2.3543
Ag 0.0000 2.3443 2.3543
Ag 2.3443 0.0000 2.3543
Rh 2.3443 2.3443 0.0000
```

=====

Here are the calculated volume numbers, same order: 20.617, 20.703 (A^3/atom).